[1]
A geometry-optimized Nd2GaSiGe structure, computed with GGA-PBE. Values from VASP.

Quantum ESPRESSO input file:
```
&SYSTEM
  ibrav = 0, nat = 10, ntyp = 4
/
ATOMIC_SPECIES
Nd 144.24 Nd.upf
Ga 69.72 Ga.upf
Si 28.09 Si.upf
Ge 72.64 Ge.upf
ATOMIC_POSITIONS crystal
Nd 0.181 0.250 0.416
Nd 0.259 0.250 0.966
Nd 0.741 0.750 0.034
Nd 0.819 0.750 0.584
Ga 0.492 0.750 0.268
Ga 0.508 0.250 0.732
Si 0.295 0.750 0.704
Si 0.705 0.250 0.296
Ge 0.148 0.750 0.172
Ge 0.852 0.250 0.828
CELL_PARAMETERS angstrom
7.268 0.000 0.000
0.000 4.113 0.000
-2.776 0.000 8.440
```

Output
Formation energy without anion corrections = -53 kJ per mole of atoms
Fermi-level density of states = 3.7 states/eV per cell
Calculated volume = 252 Å³ per cell
SG = P2_1/m (11)
Total magnetization = 0.00 μB per cell


[2]
A geometry-optimized Tb2ScB2Ru5 structure, computed with GGA-PBE. Values from VASP.

Quantum ESPRESSO input file:
```
&SYSTEM
  ibrav = 0, nat = 20, ntyp = 4
/
ATOMIC_SPECIES
Tb 158.93 Tb.upf
Sc 44.96 Sc.upf
B 10.81 B.upf
Ru 101.07 Ru.upf
ATOMIC_POSITIONS crystal
Tb 0.176 0.324 0.000
Tb 0.324 0.824 0.000
Tb 0.676 0.176 0.000
Tb 0.824 0.676 0.000
Sc 0.000 0.000 0.000
Sc 0.500 0.500 0.000
B 0.122 0.622 0.000
B 0.378 0.122 0.000
B 0.622 0.878 0.000
B 0.878 0.378 0.000
Ru 0.000 0.500 0.500
Ru 0.070 0.776 0.500
Ru 0.224 0.070 0.500
Ru 0.276 0.570 0.500
Ru 0.430 0.276 0.500
Ru 0.500 0.000 0.500
Ru 0.570 0.724 0.500
Ru 0.724 0.430 0.500
Ru 0.776 0.930 0.500
Ru 0.930 0.224 0.500
CELL_PARAMETERS angstrom
9.763 0.000 0.000
0.000 9.763 0.000
0.000 0.000 3.151
```

Output
Energy relative to the elements = -0.437 eV per atom
Fermi-level density of states = 18.4 states/eV per cell
Calculated volume = 300 Å³ per cell
SG = P4/mbm (127)
Total magnetization = 0.00 μB per cell


[3]
A geometry-optimized PmNd2Sm6Tm3 structure, computed with GGA-PBE. Values from VASP.

Quantum ESPRESSO input file:
```
&SYSTEM
  ibrav = 0, nat = 12, ntyp = 4
/
ATOMIC_SPECIES
Pm 145.00 Pm.upf
Nd 144.24 Nd.upf
Sm 150.36 Sm.upf
Tm 168.93 Tm.upf
ATOMIC_POSITIONS crystal
Pm 0.000 0.000 0.000
Nd 0.333 0.667 0.000
Nd 0.667 0.333 0.000
Sm 0.085 0.418 0.255
Sm 0.248 0.248 0.745
Sm 0.418 0.085 0.255
Sm 0.582 0.915 0.745
Sm 0.752 0.752 0.255
Sm 0.915 0.582 0.745
Tm 0.167 0.833 0.500
Tm 0.500 0.500 0.500
Tm 0.833 0.167 0.500
CELL_PARAMETERS angstrom
3.125 -5.413 0.000
3.125 5.413 0.000
-2.081 0.000 11.729
```

Output
Energy relative to the elements = 0.019 eV per atom
Fermi-level density of states = 15.7 states/eV per cell
Calculated volume = 397 Å³ per cell
SG = C2/m (12)
Total magnetization = 0.00 μB per cell


[4]
A geometry-optimized AcVBi3 structure, computed with GGA-PBE. Values from VASP.

Quantum ESPRESSO input file:
```
&SYSTEM
  ibrav = 0, nat = 5, ntyp = 3
/
ATOMIC_SPECIES
Ac 227.00 Ac.upf
V 50.94 V.upf
Bi 208.98 Bi.upf
ATOMIC_POSITIONS crystal
Ac 0.000 0.000 0.000
V 0.500 0.500 0.500
Bi 0.000 0.500 0.500
Bi 0.500 0.000 0.500
Bi 0.500 0.500 0.000
CELL_PARAMETERS angstrom
5.418 0.000 0.000
0.000 5.418 0.000
0.000 0.000 5.418
```

Output
Energy relative to the elements = -0.034 eV per atom
Fermi-level density of states = 4.9 states/eV per cell
Calculated volume = 159 Å³ per cell
SG = Pm-3m (221)
Total magnetization = 1.27 μB per cell


[5]
A geometry-optimized Ta2FeB structure, computed with GGA-PBE. Values from VASP.

Quantum ESPRESSO input file:
```
&SYSTEM
  ibrav = 0, nat = 16, ntyp = 3
/
ATOMIC_SPECIES
Ta 180.95 Ta.upf
Fe 55.84 Fe.upf
B 10.81 B.upf
ATOMIC_POSITIONS crystal
Ta 0.218 0.250 0.125
Ta 0.250 0.718 0.375
Ta 0.250 0.782 0.875
Ta 0.282 0.250 0.625
Ta 0.718 0.750 0.625
Ta 0.750 0.218 0.875
Ta 0.750 0.282 0.375
Ta 0.782 0.750 0.125
Fe 0.000 0.000 0.500
Fe 0.000 0.500 0.750
Fe 0.500 0.000 0.250
Fe 0.500 0.500 0.000
B 0.000 0.000 0.000
B 0.000 0.500 0.250
B 0.500 0.000 0.750
B 0.500 0.500 0.500
CELL_PARAMETERS angstrom
6.521 0.000 0.000
0.000 6.521 0.000
0.000 0.000 5.394
```

Output
Energy relative to the elements = 0.401 eV per atom
Fermi-level density of states = 14.9 states/eV per cell
Calculated volume = 229 Å³ per cell
SG = I-42d (122)
Total magnetization = 7.67 μB per cell


[6]
A geometry-optimized ReSbTe structure, computed with GGA-PBE. Values from VASP.

Quantum ESPRESSO input file:
```
&SYSTEM
  ibrav = 0, nat = 12, ntyp = 3
/
ATOMIC_SPECIES
Re 186.21 Re.upf
Sb 121.76 Sb.upf
Te 127.60 Te.upf
ATOMIC_POSITIONS crystal
Re 0.244 0.002 0.002
Re 0.244 0.498 0.502
Re 0.756 0.502 0.498
Re 0.756 0.998 0.998
Sb 0.349 0.656 0.201
Sb 0.349 0.844 0.701
Sb 0.651 0.156 0.299
Sb 0.651 0.344 0.799
Te 0.158 0.134 0.323
Te 0.158 0.366 0.823
Te 0.842 0.634 0.177
Te 0.842 0.866 0.677
CELL_PARAMETERS angstrom
6.733 0.000 0.000
0.000 6.775 0.000
-3.351 0.000 5.985
```

Output
Formation energy without anion corrections = 9 kJ per mole of atoms
Fermi-level density of states = 0.3 states/eV per cell
Calculated volume = 273 Å³ per cell
SG = P2_1/c (14)
Total magnetization = 0.00 μB per cell


[7]
A geometry-optimized Rb2BiSb structure, computed with GGA-PBE. Values from VASP.

Quantum ESPRESSO input file:
```
&SYSTEM
  ibrav = 0, nat = 16, ntyp = 3
/
ATOMIC_SPECIES
Rb 85.47 Rb.upf
Bi 208.98 Bi.upf
Sb 121.76 Sb.upf
ATOMIC_POSITIONS crystal
Rb 0.031 0.750 0.125
Rb 0.250 0.031 0.875
Rb 0.250 0.469 0.375
Rb 0.469 0.750 0.625
Rb 0.531 0.250 0.625
Rb 0.750 0.531 0.375
Rb 0.750 0.969 0.875
Rb 0.969 0.250 0.125
Bi 0.000 0.000 0.500
Bi 0.000 0.500 0.750
Bi 0.500 0.000 0.250
Bi 0.500 0.500 0.000
Sb 0.000 0.000 0.000
Sb 0.000 0.500 0.250
Sb 0.500 0.000 0.750
Sb 0.500 0.500 0.500
CELL_PARAMETERS angstrom
13.901 0.000 0.000
0.000 13.901 0.000
0.000 0.000 5.979
```

Output
Formation energy without anion corrections = -9 kJ per mole of atoms
Fermi-level density of states = 17.2 states/eV per cell
Calculated volume = 1156 Å³ per cell
SG = I-42d (122)
Total magnetization = 0.00 μB per cell


[8]
A geometry-optimized Mn2SbRh structure, computed with GGA-PBE. Values from VASP.

Quantum ESPRESSO input file:
```
&SYSTEM
  ibrav = 0, nat = 8, ntyp = 3
/
ATOMIC_SPECIES
Mn 54.94 Mn.upf
Sb 121.76 Sb.upf
Rh 102.91 Rh.upf
ATOMIC_POSITIONS crystal
Mn 0.000 0.000 0.000
Mn 0.000 0.500 0.250
Mn 0.500 0.000 0.750
Mn 0.500 0.500 0.500
Sb 0.000 0.500 0.750
Sb 0.500 0.000 0.250
Rh 0.000 0.000 0.500
Rh 0.500 0.500 0.000
CELL_PARAMETERS angstrom
3.908 0.000 0.000
0.000 3.942 0.000
0.000 0.000 8.048
```

Output
Formation energy without anion corrections = -4 kJ per mole of atoms
Fermi-level density of states = 7.6 states/eV per cell
Calculated volume = 124 Å³ per cell
SG = Imm2 (44)
Total magnetization = 13.92 μB per cell


[9]
A geometry-optimized KRb2P structure, computed with GGA-PBE. Values from VASP.

Quantum ESPRESSO input file:
```
&SYSTEM
  ibrav = 0, nat = 16, ntyp = 3
/
ATOMIC_SPECIES
K 39.10 K.upf
Rb 85.47 Rb.upf
P 30.97 P.upf
ATOMIC_POSITIONS crystal
K 0.001 0.000 0.193
K 0.001 0.500 0.693
K 0.999 0.000 0.807
K 0.999 0.500 0.307
Rb 0.279 0.181 0.640
Rb 0.279 0.319 0.140
Rb 0.314 0.749 0.409
Rb 0.314 0.751 0.909
Rb 0.686 0.249 0.091
Rb 0.686 0.251 0.591
Rb 0.721 0.681 0.860
Rb 0.721 0.819 0.360
P 0.047 0.632 0.024
P 0.047 0.868 0.524
P 0.953 0.132 0.476
P 0.953 0.368 0.976
CELL_PARAMETERS angstrom
11.499 0.000 0.000
0.000 7.845 0.000
-4.263 0.000 8.963
```

Output
Energy relative to the elements = -0.140 eV per atom
Fermi-level density of states = 15.0 states/eV per cell
Calculated volume = 809 Å³ per cell
SG = P2_1/c (14)
Total magnetization = 0.00 μB per cell


[10]
A geometry-optimized Sr2NpTlO8 structure, computed with GGA-PBE. Values from VASP.

Quantum ESPRESSO input file:
```
&SYSTEM
  ibrav = 0, nat = 12, ntyp = 4
/
ATOMIC_SPECIES
Sr 87.62 Sr.upf
Np 237.00 Np.upf
Tl 204.38 Tl.upf
O 16.00 O.upf
ATOMIC_POSITIONS crystal
Sr 0.000 0.246 0.000
Sr 0.000 0.754 0.000
Np 0.500 0.000 0.500
Tl 0.500 0.500 0.500
O 0.117 0.000 0.289
O 0.143 0.500 0.246
O 0.422 0.188 0.726
O 0.422 0.812 0.726
O 0.578 0.188 0.274
O 0.578 0.812 0.274
O 0.857 0.500 0.754
O 0.883 0.000 0.711
CELL_PARAMETERS angstrom
4.518 0.000 0.000
0.000 8.063 0.000
-0.788 0.000 5.426
```

Output
Formation energy without anion corrections = -188 kJ per mole of atoms
Fermi-level density of states = 8.0 states/eV per cell
Calculated volume = 198 Å³ per cell
SG = P2/m (10)
Total magnetization = 2.11 μB per cell